--- i ---
The following is a GGA-PBE calculation of a relaxed KTaCr2 crystal, from Alexandria via LeMat-Bulk.

Lattice parameters (Å, degrees): 2.870 4.249 7.512 90.00 100.35 90.00
Space group P2/m (No. 10)
Inequivalent atoms, fractional coordinates:
K: 0.000 0.000 0.000 (multiplicity 1)
Ta: 0.500 0.000 0.500 (multiplicity 1)
Cr: 0.149 0.500 0.630 (multiplicity 2)

Results
* N(E_F): 4.846 states/eV/cell

=====

--- ii ---
The following is a GGA-PBE calculation of a relaxed KTaCr2 crystal, from Alexandria via LeMat-Bulk.

Lattice parameters (Å, degrees): 5.415 5.415 16.512 90.00 90.00 90.00
Space group I4_1/amd (No. 141, origin choice 2)
Inequivalent atoms, fractional coordinates:
K: 0.000 0.250 0.375 (multiplicity 4)
Ta: 0.000 0.250 0.875 (multiplicity 4)
Cr: 0.000 0.000 0.000 (multiplicity 8)

Results
* N(E_F): 15.885 states/eV/cell

=====

--- iii ---
The following is a GGA-PBE calculation of a relaxed KTaCr2 crystal, from Alexandria via LeMat-Bulk.

Lattice parameters (Å, degrees): 2.841 3.763 8.184 90.00 97.35 90.00
Space group Pm (No. 6)
Inequivalent atoms, fractional coordinates:
K: 0.000 0.000 0.000 (multiplicity 1)
Ta: 0.746 0.500 0.386 (multiplicity 1)
Cr: 0.106 0.500 0.658 (multiplicity 1)
Cr: 0.406 0.000 0.554 (multiplicity 1)

Results
* N(E_F): 4.223 states/eV/cell

=====

--- iv ---
The following is a GGA-PBE calculation of a relaxed KTaCr2 crystal, from Alexandria via LeMat-Bulk.

Lattice parameters (Å, degrees): 5.206 5.206 2.986 90.00 90.00 90.00
Space group P4/mmm (No. 123)
Inequivalent atoms, fractional coordinates:
K: 0.000 0.000 0.000 (multiplicity 1)
Ta: 0.500 0.500 0.000 (multiplicity 1)
Cr: 0.000 0.500 0.500 (multiplicity 2)

Results
* N(E_F): 2.888 states/eV/cell

=====

Most stable pick: i. Distance to second place: 22 meV per atom.

=====

--- i ---
The following is a GGA-PBE calculation of a relaxed K2TaCr crystal, from Alexandria via LeMat-Bulk.

Lattice parameters (Å, degrees): 4.055 4.055 12.480 90.00 90.00 90.00
Space group I4/mmm (No. 139)
Inequivalent atoms, fractional coordinates:
K: 0.000 0.500 0.250 (multiplicity 4)
Ta: 0.000 0.000 0.000 (multiplicity 2)
Cr: 0.000 0.000 0.500 (multiplicity 2)

Results
* N(E_F): 7.923 states/eV/cell

=====

--- ii ---
The following is a GGA-PBE calculation of a relaxed K2TaCr crystal, from Alexandria via LeMat-Bulk.

Lattice parameters (Å, degrees): 8.326 8.326 8.326 90.00 90.00 90.00
Space group Fm-3m (No. 225)
Inequivalent atoms, fractional coordinates:
K: 0.250 0.250 0.250 (multiplicity 8)
Ta: 0.000 0.000 0.000 (multiplicity 4)
Cr: 0.000 0.000 0.500 (multiplicity 4)

Results
* N(E_F): 11.600 states/eV/cell

=====

--- iii ---
The following is a GGA-PBE calculation of a relaxed K2TaCr crystal, from Alexandria via LeMat-Bulk.

Lattice parameters (Å, degrees): 12.542 12.542 4.608 90.00 90.00 90.00
Space group I-42d (No. 122)
Inequivalent atoms, fractional coordinates:
K: 0.095 0.250 0.125 (multiplicity 8)
Ta: 0.000 0.000 0.500 (multiplicity 4)
Cr: 0.000 0.000 0.000 (multiplicity 4)

Results
* N(E_F): 31.436 states/eV/cell

=====

--- iv ---
The following is a GGA-PBE calculation of a relaxed K2TaCr crystal, from Alexandria via LeMat-Bulk.

Lattice parameters (Å, degrees): 7.694 7.694 7.694 90.00 90.00 90.00
Space group F-43m (No. 216)
Inequivalent atoms, fractional coordinates:
K: 0.000 0.000 0.000 (multiplicity 4)
K: 0.250 0.250 0.250 (multiplicity 4)
Ta: 0.250 0.250 0.750 (multiplicity 4)
Cr: 0.000 0.000 0.500 (multiplicity 4)

Results
* N(E_F): 22.715 states/eV/cell

=====

Most stable pick: i. Distance to second place: 122 meV per atom.

=====

--- i ---
The following is a GGA-PBE calculation of a relaxed KTa2Cr crystal, from Alexandria via LeMat-Bulk.

Lattice parameters (Å, degrees): 6.637 6.637 6.637 90.00 90.00 90.00
Space group Fm-3m (No. 225)
Inequivalent atoms, fractional coordinates:
K: 0.000 0.000 0.000 (multiplicity 4)
Ta: 0.250 0.250 0.250 (multiplicity 8)
Cr: 0.000 0.000 0.500 (multiplicity 4)

Results
* N(E_F): 15.296 states/eV/cell

=====

--- ii ---
The following is a GGA-PBE calculation of a relaxed KTa2Cr crystal, from Alexandria via LeMat-Bulk.

Lattice parameters (Å, degrees): 3.0452 3.0452 31.1458 90.00 90.00 120.00
Space group R-3m (No. 166, hexagonal axes)
Inequivalent atoms, fractional coordinates:
K: 0.0000 0.0000 0.0000 (multiplicity 3)
Ta: 0.0000 0.0000 0.2276 (multiplicity 6)
Cr: 0.0000 0.0000 0.5000 (multiplicity 3)

Results
* N(E_F): 9.483 states/eV/cell

=====

--- iii ---
The following is a GGA-PBE calculation of a relaxed KTa2Cr crystal, from Alexandria via LeMat-Bulk.

Lattice parameters (Å, degrees): 5.850 11.055 2.765 90.00 110.86 90.00
Space group C2/m (No. 12)
Inequivalent atoms, fractional coordinates:
K: 0.000 0.000 0.000 (multiplicity 2)
Ta: 0.250 0.250 0.500 (multiplicity 4)
Cr: 0.000 0.500 0.000 (multiplicity 2)

Results
* N(E_F): 8.122 states/eV/cell

=====

Most stable pick: ii. Distance to second place: 520 meV per atom.